The following is a DFT calculation (PBE) of an optimized crystal structure of Er2Cu.

The value obtained for the formation energy is 4.0 eV per formula unit. The value obtained for the total magnetic moment is 0.004 μB per atom. Its symmetry is No. 227. The calculation puts the total energy at -2.939 eV per atom.

a = 8.3513 Å, b = 8.3513 Å, c = 8.3513 Å
α = 60.00°, β = 60.00°, γ = 60.00°
Fractional positions:
Cu 0.5000 0.5000 0.5000
Cu 0.2500 0.2500 0.2500
Er 0.8750 0.3750 0.3750
Er 0.3750 0.3750 0.3750
Er 0.3750 0.8750 0.3750
Er 0.3750 0.3750 0.8750

The following is a DFT calculation (PBE) of an optimized crystal structure of Er2Cu.

The value obtained for the formation energy is 2.2 eV per formula unit. The value obtained for the total magnetic moment is 0.002 μB per atom. Its symmetry is No. 227. The calculation puts the total energy at -3.549 eV per atom.

a = 6.0373 Å, b = 6.0373 Å, c = 6.0373 Å
α = 60.00°, β = 60.00°, γ = 60.00°
Fractional positions:
Cu 0.2500 0.2500 0.2500
Cu 0.0000 0.0000 0.0000
Er 0.6250 0.6250 0.6250
Er 0.1250 0.6250 0.6250
Er 0.6250 0.1250 0.6250
Er 0.6250 0.6250 0.1250

The following is a DFT calculation (PBE) of an optimized crystal structure of Er2FeCu.

The value obtained for the formation energy is -0.4 eV per formula unit. The value obtained for the total magnetic moment is 0.283 μB per atom. Its symmetry is No. 26. The calculation puts the total energy at -5.384 eV per atom.

a = 4.1935 Å, b = 5.4458 Å, c = 7.1241 Å
α = 90.00°, β = 90.00°, γ = 90.00°
Fractional positions:
Er 0.0000 0.6161 0.3214
Er 0.5000 0.1226 0.1763
Er 0.0000 0.3839 0.8214
Er 0.5000 0.8774 0.6763
Cu 0.0000 0.8700 0.9672
Cu 0.0000 0.1300 0.4672
Fe 0.5000 0.6275 0.0351
Fe 0.5000 0.3725 0.5351

The following is a DFT calculation (PBE) of an optimized crystal structure of Gd2ErIn3Fe2Cu.

The value obtained for the total magnetic moment is 0.402 μB per atom. Its symmetry is No. 38. The calculation puts the total energy at -4.929 eV per atom.

a = 3.9382 Å, b = 7.4468 Å, c = 7.4468 Å
α = 119.91°, β = 90.00°, γ = 90.00°
Fractional positions:
Fe 0.5000 0.6653 0.3346
Fe 0.5000 0.3346 0.6653
In 0.5000 0.9982 0.7426
In 0.5000 0.2587 0.2587
In 0.5000 0.7426 0.9982
Gd 0.0000 0.4114 0.0002
Gd 0.0000 0.0002 0.4114
Er 0.0000 0.5903 0.5903
Cu 0.0000 0.9988 0.9988

The following is a DFT calculation (PBE) of an optimized crystal structure of ErFeCuGe2.

The value obtained for the total magnetic moment is 0.409 μB per atom. Its symmetry is No. 119. The calculation puts the total energy at -5.596 eV per atom.

a = 5.8676 Å, b = 5.8676 Å, c = 5.8676 Å
α = 139.89°, β = 139.89°, γ = 58.02°
Fractional positions:
Er 0.2500 0.7500 0.5000
Ge 0.8720 0.3720 0.5000
Ge 0.6280 0.1280 0.5000
Cu 0.5000 0.5000 0.0000
Fe 0.0000 0.0000 0.0000

The following is a DFT calculation (PBE) of an optimized crystal structure of HoEr2In3Fe2Cu.

The value obtained for the total magnetic moment is 0.397 μB per atom. Its symmetry is No. 38. The calculation puts the total energy at -4.912 eV per atom.

a = 3.9003 Å, b = 7.4042 Å, c = 7.4042 Å
α = 120.04°, β = 90.00°, γ = 90.00°
Fractional positions:
Fe 0.5000 0.3329 0.6670
Fe 0.5000 0.6670 0.3329
Ho 0.0000 0.4100 0.4100
In 0.5000 0.7416 0.7416
In 0.5000 0.2588 0.9995
In 0.5000 0.9995 0.2588
Er 0.0000 0.5905 0.0000
Er 0.0000 0.0000 0.5905
Cu 0.0000 0.9997 0.9997